Record 1
! PBE-GGA CuBiF, optimized geometry; values from VASP
! N(E_F): 4.41 states/eV/cell
! Space-group type: No. 20
! E_form (uncorrected): -0.74 eV per atom
! Calculated density: 8.94 g/cm3
! Energy relative to the lowest polymorph listed for this composition: 56 meV per atom
&SYSTEM
  ibrav = 0, nat = 12, ntyp = 3
/
ATOMIC_SPECIES
Bi 208.98 Bi.upf
Cu 63.55 Cu.upf
F 19.00 F.upf
CELL_PARAMETERS angstrom
-11.067 -5.431 -4.465
2.135 -2.037 -2.813
0.469 -3.082 2.587
ATOMIC_POSITIONS crystal
Bi 0.676 0.000 0.000
Bi 0.324 0.000 0.500
Bi 0.176 0.500 0.000
Bi 0.824 0.500 0.500
Cu 0.883 0.000 0.000
Cu 0.117 0.000 0.500
Cu 0.383 0.500 0.000
Cu 0.617 0.500 0.500
F 0.000 0.227 0.250
F 0.000 0.773 0.750
F 0.500 0.727 0.250
F 0.500 0.273 0.750

=====

Record 2
! PBE-GGA GaCuBi2F, optimized geometry; values from VASP
! N(E_F): 1.63 states/eV/cell
! Space-group type: No. 123
! E_form (uncorrected): 0.17 eV per atom
! Calculated density: 7.14 g/cm3
&SYSTEM
  ibrav = 0, nat = 5, ntyp = 4
/
ATOMIC_SPECIES
Cu 63.55 Cu.upf
Bi 208.98 Bi.upf
Ga 69.72 Ga.upf
F 19.00 F.upf
CELL_PARAMETERS angstrom
-5.281 -0.772 -1.038
1.067 -2.478 -3.584
0.044 -4.466 3.101
ATOMIC_POSITIONS crystal
Cu 0.000 0.500 0.000
Bi 0.000 0.000 0.500
Bi 0.500 0.000 0.000
Ga 0.000 0.000 0.000
F 0.500 0.500 0.500

=====

Record 3
! PBE-GGA CuBiH2F8, optimized geometry; values from VASP
! Space-group type: No. 2
! Calculated density: 4.72 g/cm3
&SYSTEM
  ibrav = 0, nat = 12, ntyp = 4
/
ATOMIC_SPECIES
Cu 63.55 Cu.upf
Bi 208.98 Bi.upf
H 1.01 H.upf
F 19.00 F.upf
CELL_PARAMETERS angstrom
3.668 0.944 0.201
0.804 5.255 -0.478
0.477 -0.955 8.238
ATOMIC_POSITIONS crystal
Cu 0.000 0.000 0.000
Bi 0.000 0.000 0.500
H 0.458 0.548 0.754
H 0.542 0.452 0.246
F 0.306 0.627 0.253
F 0.758 0.793 0.049
F 0.880 0.193 0.219
F 0.694 0.373 0.747
F 0.242 0.207 0.951
F 0.120 0.807 0.781
F 0.641 0.743 0.523
F 0.359 0.257 0.477

=====

Record 4
! PBE-GGA K2Cu3BiF12, optimized geometry; values from VASP
! N(E_F): 3.72 states/eV/cell
! Space-group type: No. 166
! E_form (uncorrected): -2.01 eV per atom
! Calculated density: 4.34 g/cm3
&SYSTEM
  ibrav = 0, nat = 18, ntyp = 4
/
ATOMIC_SPECIES
K 39.10 K.upf
Cu 63.55 Cu.upf
Bi 208.98 Bi.upf
F 19.00 F.upf
CELL_PARAMETERS angstrom
-2.320 -0.702 6.585
2.530 -5.546 3.475
4.699 1.501 4.990
ATOMIC_POSITIONS crystal
K 0.614 0.614 0.614
K 0.386 0.386 0.386
Cu 0.500 0.000 0.000
Cu 0.000 0.500 0.000
Cu 0.000 0.000 0.500
Bi 0.000 0.000 0.000
F 0.277 0.277 0.897
F 0.876 0.876 0.393
F 0.393 0.876 0.876
F 0.897 0.277 0.277
F 0.876 0.393 0.876
F 0.277 0.897 0.277
F 0.723 0.723 0.103
F 0.124 0.124 0.607
F 0.607 0.124 0.124
F 0.103 0.723 0.723
F 0.124 0.607 0.124
F 0.723 0.103 0.723

=====

no.,magnetic moment (μB/f.u.),uncorrected energy (eV/f.u.)
1,0.000,-12.07
2,0.000,-15.93
3,0.000,-50.23
4,3.952,-76.97